No. 1
# Ti2PdO, relaxed, DFT PBE-GGA
# **Density**: 6233 kg/m³
data_Ti2PdO
_space_group_name_H-M_alt 'P n m a'
_space_group_IT_number 62
_space_group_name_Hall '-P 2ac 2n'
_cell_length_a 3.247
_cell_length_b 4.095
_cell_length_c 17.481
_cell_angle_alpha 90.00
_cell_angle_beta 90.00
_cell_angle_gamma 90.00
loop_
_atom_site_label
_atom_site_type_symbol
_atom_site_fract_x
_atom_site_fract_y
_atom_site_fract_z
Ti1 Ti 0.002 0.250 0.056
Ti2 Ti 0.003 0.750 0.172
Pd1 Pd 0.003 0.250 0.313
O1 O 0.002 0.750 0.059



No. 2
# Ti7Pd2O2, relaxed, DFT PBE-GGA
# **Density**: 5903 kg/m³
data_Ti7Pd2O2
_space_group_name_H-M_alt 'C 1 2/m 1'
_space_group_IT_number 12
_space_group_name_Hall '-C 2y'
_cell_length_a 9.430
_cell_length_b 6.508
_cell_length_c 5.350
_cell_angle_alpha 90.00
_cell_angle_beta 96.42
_cell_angle_gamma 90.00
loop_
_atom_site_label
_atom_site_type_symbol
_atom_site_fract_x
_atom_site_fract_y
_atom_site_fract_z
Ti1 Ti 0.000 0.000 0.000
Ti2 Ti 0.064 0.500 0.789
Ti3 Ti 0.210 0.285 0.229
Pd1 Pd 0.000 0.192 0.500
O1 O 0.224 0.000 0.038



No. 3
# Ti4Pd2O, relaxed, DFT PBE-GGA
# **Density**: 6586 kg/m³
data_Ti4Pd2O
_space_group_name_H-M_alt 'P 1 2/m 1'
_space_group_IT_number 10
_space_group_name_Hall '-P 2y'
_cell_length_a 5.083
_cell_length_b 3.154
_cell_length_c 7.080
_cell_angle_alpha 90.00
_cell_angle_beta 110.97
_cell_angle_gamma 90.00
loop_
_atom_site_label
_atom_site_type_symbol
_atom_site_fract_x
_atom_site_fract_y
_atom_site_fract_z
Ti1 Ti 0.166 0.000 0.331
Ti2 Ti 0.243 0.500 0.999
Pd1 Pd 0.321 0.500 0.641
O1 O 0.000 0.000 0.000



No. 4
# TiPd2O, relaxed, DFT PBE-GGA
# **Density**: 6630 kg/m³
data_TiPd2O
_space_group_name_H-M_alt 'I -4 2 d'
_space_group_IT_number 122
_space_group_name_Hall 'I -4 2bw'
_cell_length_a 5.607
_cell_length_b 5.607
_cell_length_c 8.818
_cell_angle_alpha 90.00
_cell_angle_beta 90.00
_cell_angle_gamma 90.00
loop_
_atom_site_label
_atom_site_type_symbol
_atom_site_fract_x
_atom_site_fract_y
_atom_site_fract_z
Ti1 Ti 0.000 0.000 0.000
Pd1 Pd 0.206 0.250 0.625
O1 O 0.000 0.000 0.500



No. 5
# Ti4PdO2, relaxed, DFT PBE-GGA
# **Density**: 6150 kg/m³
data_Ti4PdO2
_space_group_name_H-M_alt 'C m c m'
_space_group_IT_number 63
_space_group_name_Hall '-C 2c 2'
_cell_length_a 3.129
_cell_length_b 10.515
_cell_length_c 10.830
_cell_angle_alpha 90.00
_cell_angle_beta 90.00
_cell_angle_gamma 90.00
loop_
_atom_site_label
_atom_site_type_symbol
_atom_site_fract_x
_atom_site_fract_y
_atom_site_fract_z
Ti1 Ti 0.000 0.000 0.000
Ti2 Ti 0.000 0.257 0.102
Ti3 Ti 0.000 0.417 0.750
Pd1 Pd 0.000 0.114 0.750
O1 O 0.000 0.373 0.561



No. 6
# TiPd3O, relaxed, DFT PBE-GGA
# **Density**: 6414 kg/m³
data_TiPd3O
_space_group_name_H-M_alt 'P m -3 m'
_space_group_IT_number 221
_space_group_name_Hall '-P 4 2 3'
_cell_length_a 4.629
_cell_length_b 4.629
_cell_length_c 4.629
_cell_angle_alpha 90.00
_cell_angle_beta 90.00
_cell_angle_gamma 90.00
loop_
_atom_site_label
_atom_site_type_symbol
_atom_site_fract_x
_atom_site_fract_y
_atom_site_fract_z
Ti1 Ti 0.000 0.000 0.000
Pd1 Pd 0.000 0.000 0.500
O1 O 0.500 0.500 0.500



No. 7
# Ti2PdO, relaxed, DFT PBE-GGA
# **Density**: 6084 kg/m³
data_Ti2PdO
_space_group_name_H-M_alt 'I -4 2 d'
_space_group_IT_number 122
_space_group_name_Hall 'I -4 2bw'
_cell_length_a 5.876
_cell_length_b 5.876
_cell_length_c 6.898
_cell_angle_alpha 90.00
_cell_angle_beta 90.00
_cell_angle_gamma 90.00
loop_
_atom_site_label
_atom_site_type_symbol
_atom_site_fract_x
_atom_site_fract_y
_atom_site_fract_z
Ti1 Ti 0.164 0.250 0.125
Pd1 Pd 0.000 0.000 0.500
O1 O 0.000 0.000 0.000



No. 8
# Ti2PdO, relaxed, DFT PBE-GGA
# **Density**: 7281 kg/m³
data_Ti2PdO
_space_group_name_H-M_alt 'P 4/m m m'
_space_group_IT_number 123
_space_group_name_Hall '-P 4 2'
_cell_length_a 2.692
_cell_length_b 2.692
_cell_length_c 6.866
_cell_angle_alpha 90.00
_cell_angle_beta 90.00
_cell_angle_gamma 90.00
loop_
_atom_site_label
_atom_site_type_symbol
_atom_site_fract_x
_atom_site_fract_y
_atom_site_fract_z
Ti1 Ti 0.000 0.000 0.205
Pd1 Pd 0.500 0.500 0.500
O1 O 0.500 0.500 0.000



Number 1: formation energy from raw total energies -1.35 eV/atom, total DFT energy (no corrections) -7.838 eV per atom. Number 2: formation energy from raw total energies -0.95 eV/atom, total DFT energy (no corrections) -7.822 eV per atom. Number 3: formation energy from raw total energies -0.90 eV/atom, total DFT energy (no corrections) -7.601 eV per atom. Number 4: formation energy from raw total energies -0.01 eV/atom, total DFT energy (no corrections) -5.822 eV per atom. Number 5: formation energy from raw total energies -1.62 eV/atom, total DFT energy (no corrections) -8.294 eV per atom. Number 6: formation energy from raw total energies 1.01 eV/atom, total DFT energy (no corrections) -4.672 eV per atom. Number 7: formation energy from raw total energies -1.28 eV/atom, total DFT energy (no corrections) -7.767 eV per atom. Number 8: formation energy from raw total energies -1.15 eV/atom, total DFT energy (no corrections) -7.633 eV per atom.